# 1
Material: SbPtS2N
Method: DFT, GGA-PBE
State: relaxed

Calculated values
Uncorrected energy (eV per atom): -4.8209
Raw formation energy (eV/atom): 0.528
Energy above the lowest structure with this stoichiometry (eV per atom): 0.000

Lattice parameters (Å, degrees): 5.0064 5.0064 3.6978 90.00 90.00 90.00
Atoms (fractional coordinates):
Sb (0.0000, 0.0000, 0.0000)
Pt (0.5000, 0.5000, 0.5000)
S (0.0000, 0.5000, 0.5000)
S (0.5000, 0.0000, 0.5000)
N (0.5000, 0.5000, 0.0000)

# 2
Material: ScPtS2N
Method: DFT, GGA-PBE
State: relaxed

Calculated values
Uncorrected energy (eV per atom): -5.1644
Raw formation energy (eV/atom): 0.626
Energy above the lowest structure with this stoichiometry (eV per atom): 0.641

Lattice parameters (Å, degrees): 4.9089 4.9089 3.9442 90.00 90.00 90.00
Atoms (fractional coordinates):
Sc (0.0000, 0.0000, 0.0000)
Pt (0.5000, 0.5000, 0.5000)
S (0.0000, 0.5000, 0.0000)
S (0.5000, 0.0000, 0.0000)
N (0.0000, 0.0000, 0.5000)

# 3
Material: ScPtSN2
Method: DFT, GGA-PBE
State: relaxed

Calculated values
Uncorrected energy (eV per atom): -6.1107
Raw formation energy (eV/atom): 0.519
Energy above the lowest structure with this stoichiometry (eV per atom): 0.000

Lattice parameters (Å, degrees): 3.8868 3.8868 4.9713 90.00 90.00 90.00
Atoms (fractional coordinates):
Sc (0.0000, 0.0000, 0.0000)
Pt (0.5000, 0.5000, 0.5000)
S (0.5000, 0.5000, 0.0000)
N (0.0000, 0.5000, 0.5000)
N (0.5000, 0.0000, 0.5000)

# 4
Material: ScPtSN2
Method: DFT, GGA-PBE
State: relaxed

Calculated values
Uncorrected energy (eV per atom): -5.6101
Raw formation energy (eV/atom): 1.020
Energy above the lowest structure with this stoichiometry (eV per atom): 0.501

Lattice parameters (Å, degrees): 4.0208 4.0208 5.1604 90.00 90.00 90.00
Atoms (fractional coordinates):
Sc (0.0000, 0.0000, 0.0000)
Pt (0.5000, 0.5000, 0.5000)
S (0.0000, 0.0000, 0.5000)
N (0.0000, 0.5000, 0.0000)
N (0.5000, 0.0000, 0.0000)

# 5
Material: ScPtS2N
Method: DFT, GGA-PBE
State: relaxed

Calculated values
Uncorrected energy (eV per atom): -5.8053
Raw formation energy (eV/atom): -0.015
Energy above the lowest structure with this stoichiometry (eV per atom): 0.000

Lattice parameters (Å, degrees): 4.9088 4.9088 3.7054 90.00 90.00 90.00
Atoms (fractional coordinates):
Sc (0.0000, 0.0000, 0.0000)
Pt (0.5000, 0.5000, 0.5000)
S (0.0000, 0.5000, 0.5000)
S (0.5000, 0.0000, 0.5000)
N (0.5000, 0.5000, 0.0000)

# 6
Material: PtSe2SN
Method: DFT, GGA-PBE
State: relaxed

Calculated values
Uncorrected energy (eV per atom): -4.1007
Raw formation energy (eV/atom): 0.992
Energy above the lowest structure with this stoichiometry (eV per atom): 0.095

Lattice parameters (Å, degrees): 5.0148 5.0148 3.2182 90.00 90.00 90.00
Atoms (fractional coordinates):
Pt (0.0000, 0.0000, 0.0000)
Se (0.0000, 0.5000, 0.5000)
Se (0.5000, 0.0000, 0.5000)
S (0.5000, 0.5000, 0.5000)
N (0.5000, 0.5000, 0.0000)

# 7
Material: PtSeS2N
Method: DFT, GGA-PBE
State: relaxed

Calculated values
Uncorrected energy (eV per atom): -3.8276
Raw formation energy (eV/atom): 1.393
Energy above the lowest structure with this stoichiometry (eV per atom): 0.516

Lattice parameters (Å, degrees): 4.8442 4.8442 3.5216 90.00 90.00 90.00
Atoms (fractional coordinates):
Pt (0.0000, 0.0000, 0.0000)
Se (0.5000, 0.5000, 0.5000)
S (0.0000, 0.5000, 0.5000)
S (0.5000, 0.0000, 0.5000)
N (0.5000, 0.5000, 0.0000)

# 8
Material: PtSe2SN
Method: DFT, GGA-PBE
State: relaxed

Calculated values
Uncorrected energy (eV per atom): -4.1954
Raw formation energy (eV/atom): 0.897
Energy above the lowest structure with this stoichiometry (eV per atom): 0.000

Lattice parameters (Å, degrees): 5.1940 5.1940 3.6619 90.00 90.00 90.00
Atoms (fractional coordinates):
Pt (0.0000, 0.0000, 0.0000)
Se (0.0000, 0.5000, 0.0000)
Se (0.5000, 0.0000, 0.0000)
S (0.5000, 0.5000, 0.5000)
N (0.0000, 0.0000, 0.5000)

Q: The highest energy above the lowest structure with this stoichiometry belongs to which entry?
A: number 2

Q: Look up the uncorrected energy of the first one.
A: -4.8209 eV per atom

Q: What is the formula in the fourth record?
A: ScPtSN2

Repeat the eighth record exactly.
Material: PtSe2SN
Method: DFT, GGA-PBE
State: relaxed

Calculated values
Uncorrected energy (eV per atom): -4.1954
Raw formation energy (eV/atom): 0.897
Energy above the lowest structure with this stoichiometry (eV per atom): 0.000

Lattice parameters (Å, degrees): 5.1940 5.1940 3.6619 90.00 90.00 90.00
Atoms (fractional coordinates):
Pt (0.0000, 0.0000, 0.0000)
Se (0.0000, 0.5000, 0.0000)
Se (0.5000, 0.0000, 0.0000)
S (0.5000, 0.5000, 0.5000)
N (0.0000, 0.0000, 0.5000)